Entry from the Alexandria database: a geometry-optimized Ba3SrCa2W2O12 structure (PBE+U).

Cell and atoms, written as CIF:
```
data_Ba3SrCa2W2O12
_chemical_formula_sum 'Ba3 Sr1 Ca2 W2 O12'
_symmetry_space_group_name_H-M 'P 1'
_symmetry_Int_Tables_number 1
_cell_length_a 5.980
_cell_length_b 6.009
_cell_length_c 10.340
_cell_angle_alpha 73.16
_cell_angle_beta 73.45
_cell_angle_gamma 60.31
loop_
_symmetry_equiv_pos_as_xyz
'x,y,z'
loop_
_atom_site_label
_atom_site_type_symbol
_atom_site_fract_x
_atom_site_fract_y
_atom_site_fract_z
O1 O 0.817 0.914 0.862
O2 O 0.395 0.851 0.853
O3 O 0.279 0.443 0.366
O4 O 0.118 0.576 0.121
O5 O 0.107 0.650 0.646
O6 O 0.683 0.586 0.634
O7 O 0.610 0.159 0.154
O8 O 0.404 0.922 0.380
O9 O 0.877 0.418 0.877
O10 O 0.197 0.079 0.137
O11 O 0.627 0.076 0.615
O12 O 0.898 0.316 0.355
Ba1 Ba 0.125 0.124 0.624
Ba2 Ba 0.372 0.378 0.874
Ba3 Ba 0.629 0.621 0.124
W1 W 0.751 0.750 0.748
W2 W 0.250 0.250 0.252
Ca1 Ca 0.000 0.999 0.002
Ca2 Ca 0.499 0.501 0.497
Sr1 Sr 0.862 0.887 0.379
```

electronic total energy: -140.179 eV/cell
space-group type: P1, No. 1
density of states at the Fermi level: 0.00 states/eV/f.u.